This record from Alexandria via LeMat-Bulk describes an optimized crystal structure of CaTl2Cl. The functional is PBE.

Cell and atoms, written as CIF:
```
data_CaTl2Cl
_chemical_formula_sum 'Ca1 Tl2 Cl1'
_cell_length_a 3.485
_cell_length_b 3.540
_cell_length_c 9.824
_cell_angle_alpha 90.00
_cell_angle_beta 90.83
_cell_angle_gamma 90.00
_symmetry_space_group_name_H-M 'P 1'
_symmetry_Int_Tables_number 1
_symmetry_space_group_name_Hall 'P 1'
loop_
_atom_site_label
_atom_site_type_symbol
_atom_site_fract_x
_atom_site_fract_y
_atom_site_fract_z
Ca1 Ca 0.000 0.000 0.000
Tl1 Tl 0.492 0.500 0.752
Tl2 Tl 0.983 0.000 0.503
Cl1 Cl 0.506 0.500 0.144
```

Results
Fermi-level density of states, states/eV per atom: 0.3660
Polymorph energy (0 for the lowest one), meV/atom: 0.0
Total energy, eV/atom: -2.983
ρ, g cm⁻³: 6.636
Formation energy from raw total energies, eV/atom: -0.838